# 1
PBE HfZr2Tc, relaxed; energy of formation = 0.278 eV per atom; D(E_F) = 5.5 states/eV/f.u.; total energy = -9.08 eV per atom
1.0
-3.8374 3.8374 2.9332
3.8374 -3.8374 2.9332
3.8374 3.8374 -2.9332
Hf Zr Tc
2 4 2
direct
0.0000 0.0000 0.0000
0.7500 0.2500 0.5000
0.1691 0.6250 0.0441
0.3750 0.4191 0.5441
0.5809 0.1250 0.9559
0.8750 0.8309 0.4559
0.2500 0.7500 0.5000
0.5000 0.5000 0.0000

=====

# 2
PBE Hf2ZrTc, relaxed; energy of formation = -0.060 eV per atom; D(E_F) = 5.7 states/eV/f.u.; total energy = -9.77 eV per atom
1.0
4.8041 0.0000 0.0000
0.0000 4.8041 0.0000
0.0000 0.0000 3.3994
Hf Zr Tc
2 1 1
direct
0.0000 0.5000 0.0000
0.5000 0.0000 0.0000
0.0000 0.0000 0.5000
0.5000 0.5000 0.5000

=====

# 3
PBE HfZr5Tc4, relaxed; energy of formation = -0.285 eV per atom; D(E_F) = 12.2 states/eV/f.u.; total energy = -9.70 eV per atom
1.0
3.3117 0.0000 0.0000
0.0000 3.3117 0.0000
0.0000 0.0000 17.1650
Hf Zr Tc
1 5 4
direct
0.0000 0.0000 0.0000
0.5000 0.5000 0.1212
0.5000 0.5000 0.3095
0.5000 0.5000 0.5000
0.5000 0.5000 0.6905
0.5000 0.5000 0.8788
0.0000 0.0000 0.2097
0.0000 0.0000 0.4041
0.0000 0.0000 0.5959
0.0000 0.0000 0.7903

=====

# 4
PBE HfZr2Tc, relaxed; energy of formation = -0.045 eV per atom; D(E_F) = 3.6 states/eV/f.u.; total energy = -9.40 eV per atom
1.0
4.9538 -2.8336 0.0000
4.9538 2.8336 0.0000
0.0000 0.0000 5.8474
Hf Zr Tc
2 4 2
direct
0.1619 0.8381 0.7500
0.8381 0.1619 0.2500
0.2777 0.2777 0.0000
0.2777 0.2777 0.5000
0.7223 0.7223 0.0000
0.7223 0.7223 0.5000
0.3380 0.6620 0.2500
0.6620 0.3380 0.7500